Entry from Alexandria: LiHoNiF6 after structural relaxation (PBE with a Hubbard U).

Lattice parameters (Å, degrees): 5.4594 5.4594 8.9227 90.00 90.00 120.00
Last column: nearest neighbours and their distance in Å.
Space group P-31c (No. 163)
Symmetry-distinct sites (fractional):
1 Li 0.0000 0.0000 0.0000  6 F 2.17
2 Ho 0.3333 0.6667 0.2500  6 F 2.19
3 Ni 0.3333 0.6667 0.7500  6 F 2.03
4 F 0.0217 0.3487 0.6280  1 Ni 2.03, 1 Li 2.17, 1 Ho 2.19

Values from the calculation:
total energy = -5.3903 eV per atom
M_tot = 1.9 μB/f.u.